This record from Alexandria via LeMat-Bulk describes an optimized crystal structure of BeTc3. The functional is PBE.

Cell: 4.9262 4.9262 4.9262 Å, 116.82 116.82 116.82°
Positions (direct):
Be 0.0000 0.0000 0.0000
Tc 0.0000 0.5000 0.5000
Tc 0.5000 0.0000 0.5000
Tc 0.5000 0.5000 0.0000

Output
Fermi-level density of states ... 3.3 states/eV per cell
Calculated volume ... 54 Å³/cell
Distance to the lowest polymorph of the same formula ... 0.234 eV per atom

***

This record from Alexandria via LeMat-Bulk describes an optimized crystal structure of BeTc. The functional is PBE.

Cell: 4.0691 4.0691 4.0691 Å, 60.00 60.00 60.00°
Positions (direct):
Be 0.1250 0.1250 0.1250
Be 0.8750 0.8750 0.8750
Tc 0.3750 0.3750 0.3750
Tc 0.6250 0.6250 0.6250

Output
Fermi-level density of states ... 1.5 states/eV per cell
Calculated volume ... 48 Å³/cell
Distance to the lowest polymorph of the same formula ... 0.137 eV per atom

***

This record from Alexandria via LeMat-Bulk describes an optimized crystal structure of BeTc5. The functional is PBE.

Cell: 4.8777 4.8777 6.4103 Å, 109.11 109.11 34.73°
Positions (direct):
Be 0.0000 0.0000 0.0000
Tc 0.0174 0.0174 0.5481
Tc 0.3309 0.3309 0.6962
Tc 0.3707 0.3707 0.1844
Tc 0.6707 0.6707 0.8906
Tc 0.6805 0.6805 0.3338

Output
Fermi-level density of states ... 4.6 states/eV per cell
Calculated volume ... 82 Å³/cell
Distance to the lowest polymorph of the same formula ... 0.008 eV per atom

***

This record from Alexandria via LeMat-Bulk describes an optimized crystal structure of BeTc3. The functional is PBE.

Cell: 5.2619 5.2619 4.4278 Å, 90.00 90.00 120.00°
Positions (direct):
Be 0.3333 0.6667 0.2500
Be 0.6667 0.3333 0.7500
Tc 0.1728 0.3457 0.7500
Tc 0.1728 0.8272 0.7500
Tc 0.3457 0.1728 0.2500
Tc 0.6543 0.8272 0.7500
Tc 0.8272 0.1728 0.2500
Tc 0.8272 0.6543 0.2500

Output
Fermi-level density of states ... 4.5 states/eV per cell
Calculated volume ... 106 Å³/cell
Distance to the lowest polymorph of the same formula ... 0.068 eV per atom